Run i
This record from Alexandria describes crystalline TbSnAu4 at its relaxed geometry. The functional is PBE.

Cell and atoms, written as CIF:
```
data_TbSnAu4
_chemical_formula_sum 'Tb1 Sn1 Au4'
_cell_length_a 5.642
_cell_length_b 5.642
_cell_length_c 5.642
_cell_angle_alpha 60.00
_cell_angle_beta 60.00
_cell_angle_gamma 60.00
_symmetry_space_group_name_H-M 'P 1'
_symmetry_Int_Tables_number 1
_symmetry_space_group_name_Hall 'P 1'
loop_
_atom_site_label
_atom_site_type_symbol
_atom_site_fract_x
_atom_site_fract_y
_atom_site_fract_z
_atom_site_occupancy
Au1 Au 0.625 0.125 0.625 1
Au2 Au 0.625 0.625 0.125 1
Au3 Au 0.625 0.625 0.625 1
Au4 Au 0.125 0.625 0.625 1
Sn1 Sn 0.000 0.000 0.000 1
Tb1 Tb 0.250 0.250 0.250 1
```

=====

Run ii
This record from Alexandria describes crystalline TbSnAu4 at its relaxed geometry. The functional is PBE.

Cell and atoms, written as CIF:
```
data_TbSnAu4
_chemical_formula_sum 'Tb2 Sn2 Au8'
_cell_length_a 5.205
_cell_length_b 7.513
_cell_length_c 8.261
_cell_angle_alpha 90.00
_cell_angle_beta 118.73
_cell_angle_gamma 90.00
_symmetry_space_group_name_H-M 'P 1'
_symmetry_Int_Tables_number 1
_symmetry_space_group_name_Hall 'P 1'
loop_
_atom_site_label
_atom_site_type_symbol
_atom_site_fract_x
_atom_site_fract_y
_atom_site_fract_z
_atom_site_occupancy
Au1 Au 0.703 0.939 0.434 1
Au2 Au 0.297 0.061 0.566 1
Au3 Au 0.703 0.561 0.434 1
Au4 Au 0.000 0.000 0.000 1
Au5 Au 0.297 0.439 0.566 1
Au6 Au 0.451 0.750 0.080 1
Au7 Au 0.549 0.250 0.920 1
Au8 Au 0.000 0.500 0.000 1
Sn1 Sn 0.461 0.250 0.221 1
Sn2 Sn 0.539 0.750 0.779 1
Tb1 Tb 0.102 0.750 0.310 1
Tb2 Tb 0.898 0.250 0.690 1
```

=====

Pick the least stable structure from those above. Pick: run ii